# LaCu2P, relaxed, DFT GGA-PBEsol
data_LaCu2P
_cell_length_a 4.0848
_cell_length_b 4.0794
_cell_length_c 4.3950
_cell_angle_alpha 90.00
_cell_angle_beta 90.00
_cell_angle_gamma 90.00
_symmetry_space_group_name_H-M 'P 1'
_symmetry_Int_Tables_number 1
loop_
_symmetry_equiv_pos_as_xyz
'x,y,z'
loop_
_atom_site_label
_atom_site_type_symbol
_atom_site_fract_x
_atom_site_fract_y
_atom_site_fract_z
_atom_site_occupancy
Cu1 Cu 0.0000 0.0000 0.0000 1
Cu2 Cu 0.5000 0.5000 0.0000 1
La1 La 0.5000 0.0000 0.5000 1
P1 P 0.0000 0.5000 0.5000 1
# Uncorrected energy = -5.10 eV per atom
# Symmetry = P4/mmm

***

# GaAsH4O6, relaxed, DFT GGA-PBEsol
data_GaAsH4O6
_cell_length_a 8.8448
_cell_length_b 9.7628
_cell_length_c 10.4157
_cell_angle_alpha 90.00
_cell_angle_beta 90.00
_cell_angle_gamma 90.00
_symmetry_space_group_name_H-M 'P 1'
_symmetry_Int_Tables_number 1
loop_
_symmetry_equiv_pos_as_xyz
'x,y,z'
loop_
_atom_site_label
_atom_site_type_symbol
_atom_site_fract_x
_atom_site_fract_y
_atom_site_fract_z
_atom_site_occupancy
Ga1 Ga 0.8632 0.8081 0.8739 1
Ga2 Ga 0.3632 0.6919 0.1261 1
Ga3 Ga 0.1368 0.3081 0.6261 1
Ga4 Ga 0.6368 0.1919 0.3739 1
Ga5 Ga 0.1368 0.1919 0.1261 1
Ga6 Ga 0.6368 0.3081 0.8739 1
Ga7 Ga 0.8632 0.6919 0.3739 1
Ga8 Ga 0.3632 0.8081 0.6261 1
As1 As 0.5435 0.6331 0.8517 1
As2 As 0.0435 0.8669 0.1483 1
As3 As 0.4565 0.1331 0.6483 1
As4 As 0.9565 0.3669 0.3517 1
As5 As 0.4565 0.3669 0.1483 1
As6 As 0.9565 0.1331 0.8517 1
As7 As 0.5435 0.8669 0.3517 1
As8 As 0.0435 0.6331 0.6483 1
H1 H 0.6779 0.9057 0.6859 1
H2 H 0.1779 0.5943 0.3141 1
H3 H 0.3221 0.4057 0.8141 1
H4 H 0.8221 0.0943 0.1859 1
H5 H 0.3221 0.0943 0.3141 1
H6 H 0.8221 0.4057 0.6859 1
H7 H 0.6779 0.5943 0.1859 1
H8 H 0.1779 0.9057 0.8141 1
H9 H 0.8341 0.8305 0.6325 1
H10 H 0.3341 0.6695 0.3675 1
H11 H 0.1659 0.3305 0.8675 1
H12 H 0.6659 0.1695 0.1325 1
H13 H 0.1659 0.1695 0.3675 1
H14 H 0.6659 0.3305 0.6325 1
H15 H 0.8341 0.6695 0.1325 1
H16 H 0.3341 0.8305 0.8675 1
H17 H 0.7054 0.0108 0.9363 1
H18 H 0.2054 0.4892 0.0637 1
H19 H 0.2946 0.5108 0.5637 1
H20 H 0.7946 0.9892 0.4363 1
H21 H 0.2946 0.9892 0.0637 1
H22 H 0.7946 0.5108 0.9363 1
H23 H 0.7054 0.4892 0.4363 1
H24 H 0.2054 0.0108 0.5637 1
H25 H 0.6052 0.8665 0.9763 1
H26 H 0.1052 0.6335 0.0237 1
H27 H 0.3948 0.3665 0.5237 1
H28 H 0.8948 0.1335 0.4763 1
H29 H 0.3948 0.1335 0.0237 1
H30 H 0.8948 0.3665 0.9763 1
H31 H 0.6052 0.6335 0.4763 1
H32 H 0.1052 0.8665 0.5237 1
O1 O 0.5150 0.6928 0.7012 1
O2 O 0.0150 0.8072 0.2988 1
O3 O 0.4850 0.1928 0.7988 1
O4 O 0.9850 0.3072 0.2012 1
O5 O 0.4850 0.3072 0.2988 1
O6 O 0.9850 0.1928 0.7012 1
O7 O 0.5150 0.8072 0.2012 1
O8 O 0.0150 0.6928 0.7988 1
O9 O 0.4898 0.4653 0.8676 1
O10 O 0.9898 0.0347 0.1324 1
O11 O 0.5102 0.9653 0.6324 1
O12 O 0.0102 0.5347 0.3676 1
O13 O 0.5102 0.5347 0.1324 1
O14 O 0.0102 0.9653 0.8676 1
O15 O 0.4898 0.0347 0.3676 1
O16 O 0.9898 0.4653 0.6324 1
O17 O 0.4519 0.7448 0.9561 1
O18 O 0.9519 0.7552 0.0439 1
O19 O 0.5481 0.2448 0.5439 1
O20 O 0.0481 0.2552 0.4561 1
O21 O 0.5481 0.2552 0.0439 1
O22 O 0.0481 0.2448 0.9561 1
O23 O 0.4519 0.7552 0.4561 1
O24 O 0.9519 0.7448 0.5439 1
O25 O 0.7329 0.6446 0.8866 1
O26 O 0.2329 0.8554 0.1134 1
O27 O 0.2671 0.1446 0.6134 1
O28 O 0.7671 0.3554 0.3866 1
O29 O 0.2671 0.3554 0.1134 1
O30 O 0.7671 0.1446 0.8866 1
O31 O 0.7329 0.8554 0.3866 1
O32 O 0.2329 0.6446 0.6134 1
O33 O 0.7849 0.8790 0.7075 1
O34 O 0.2849 0.6210 0.2925 1
O35 O 0.2151 0.3790 0.7925 1
O36 O 0.7151 0.1210 0.2075 1
O37 O 0.2151 0.1210 0.2925 1
O38 O 0.7151 0.3790 0.7075 1
O39 O 0.7849 0.6210 0.2075 1
O40 O 0.2849 0.8790 0.7925 1
O41 O 0.7062 0.9110 0.9673 1
O42 O 0.2062 0.5890 0.0327 1
O43 O 0.2938 0.4110 0.5327 1
O44 O 0.7938 0.0890 0.4673 1
O45 O 0.2938 0.0890 0.0327 1
O46 O 0.7938 0.4110 0.9673 1
O47 O 0.7062 0.5890 0.4673 1
O48 O 0.2062 0.9110 0.5327 1
# Uncorrected energy = -5.71 eV per atom
# Symmetry = Pbca

***

# Ca2BiAu2, relaxed, DFT GGA-PBEsol
data_Ca2BiAu2
_cell_length_a 4.9299
_cell_length_b 4.9299
_cell_length_c 6.5417
_cell_angle_alpha 112.14
_cell_angle_beta 112.14
_cell_angle_gamma 90.00
_symmetry_space_group_name_H-M 'P 1'
_symmetry_Int_Tables_number 1
loop_
_symmetry_equiv_pos_as_xyz
'x,y,z'
loop_
_atom_site_label
_atom_site_type_symbol
_atom_site_fract_x
_atom_site_fract_y
_atom_site_fract_z
_atom_site_occupancy
Ca1 Ca 0.2500 0.7500 0.5000 1
Ca2 Ca 0.7500 0.2500 0.5000 1
Au1 Au 0.3833 0.3833 0.7665 1
Au2 Au 0.6167 0.6167 0.2335 1
Bi1 Bi 0.0000 0.0000 0.0000 1
# Uncorrected energy = -3.75 eV per atom
# Symmetry = I4/mmm